Si3SnOs | PBE | optimized geometry

Unit cell a=4.7036 b=4.7036 c=4.7036 alpha=90.00 beta=90.00 gamma=90.00
Last column: nearest neighbours and their distance in Å.
Element x y z (fractional)
Si (0.0000, 0.5000, 0.0000)  2 Os 2.35
Si (0.0000, 0.0000, 0.5000)  2 Os 2.35
Si (0.5000, 0.0000, 0.0000)  2 Os 2.35
Os (0.0000, 0.0000, 0.0000)  6 Si 2.35
Sn (0.5000, 0.5000, 0.5000)  12 Si 3.33

Properties
M_tot (μB per formula unit): 0.00
Formation energy (no corrections) (eV/atom): 0.493
Density of states at the Fermi level (states/eV per atom): 0.846